A plane-wave DFT calculation with PBE was carried out for a geometry-optimized SbPtCl2 structure.

Energy relative to the elements, uncorrected (meV per atom): -516.5
Symmetry: Cm (8)
Energy above the most stable polymorph in this dataset (eV per atom): 0.0000
N(E_F) (states/eV per cell): 1.6

Cell and atoms, written as extended XYZ:
```
8
Lattice="7.2537 0.0000 0.0000 0.0000 3.9194 0.0000 -0.4482 0.0000 8.4434" Properties=species:S:1:pos:R:3 pbc="T T T"
Sb 0.0000 0.0000 0.0000
Sb 3.6269 1.9597 0.0000
Pt 1.2355 1.9597 1.1158
Pt 4.8624 0.0000 1.1158
Cl 1.5923 0.0000 2.7167
Cl 3.2565 1.9597 6.0856
Cl 5.2192 1.9597 2.7167
Cl 6.8833 0.0000 6.0856
```